DFT (GGA+U) results for a geometry-optimized V2PdO structure.

The structure in extended XYZ format:
```
8
Lattice="6.079 0.000 0.000 0.000 6.079 0.000 3.040 3.040 3.384" Properties=species:S:1:pos:R:3 pbc="T T T"
Pd 0.000 0.000 0.000
Pd 6.079 3.040 1.692
O 3.040 3.040 0.000
O 3.040 6.079 1.692
V 4.024 1.520 0.846
V 2.056 4.560 0.846
V 4.560 5.095 2.538
V 7.599 7.063 2.538
```

The value obtained for the total moment is 11.328 μB per cell. Its total energy is -6.5734 eV per atom.